Material: ThSc3Pt2
Method: DFT, PBE
State: relaxed

Lattice parameters (Å, degrees): 4.5850 6.8325 8.5391 90.00 90.00 90.00
With the nearest neighbours (Å) after each atom.
Fractional coordinates of all 12 atoms:
Th 0.5000 0.0125 0.4250  3 Pt 2.85-2.99
Th 0.5000 0.5125 0.5750  3 Pt 2.85-2.99
Sc 0.5000 0.1461 0.8429  4 Pt 2.70-2.87
Sc 0.0000 0.9839 0.0730  3 Pt 2.78-2.98
Pt 0.0000 0.2513 0.6595  4 Sc 2.69-2.87, 2 Th 2.99
Sc 0.0000 0.4839 0.9270  3 Pt 2.78-2.98
Pt 0.0000 0.7513 0.3405  4 Sc 2.69-2.87, 2 Th 2.99
Sc 0.5000 0.6461 0.1571  4 Pt 2.70-2.87
Sc 0.0000 0.3597 0.3055  3 Pt 2.69-2.76
Pt 0.5000 0.7466 0.8511  6 Sc 2.70-2.98, 1 Th 2.85
Sc 0.0000 0.8597 0.6945  3 Pt 2.69-2.76
Pt 0.5000 0.2466 0.1489  6 Sc 2.70-2.98, 1 Th 2.85

Properties
DOS at the Fermi energy ... 10.99 states/eV per cell
Spin magnetization ... 0.00 μB/f.u.
Energy of formation from the pure elements ... -0.930 eV/atom
Calculated density ... 9.4 g/cm³